AcMgCdIn2: relaxed, GGA-PBE. Values from VASP.

- final energy (eV/atom) = -2.7694
- M_tot (μB per cell) = 0.00
- E_form (eV/atom) = -0.35

Quantum ESPRESSO input file:
```
&SYSTEM
  ibrav = 0, nat = 10, ntyp = 4
/
ATOMIC_SPECIES
Ac 227.00 Ac.upf
Mg 24.30 Mg.upf
Cd 112.41 Cd.upf
In 114.82 In.upf
CELL_PARAMETERS angstrom
4.717 0.000 0.000
0.000 4.717 0.000
0.000 0.000 12.495
ATOMIC_POSITIONS crystal
Ac 0.000 0.000 0.000
Ac 0.500 0.500 0.500
Mg 0.000 0.500 0.750
Mg 0.500 0.000 0.250
Cd 0.000 0.500 0.250
Cd 0.500 0.000 0.750
In 0.000 0.000 0.387
In 0.000 0.000 0.613
In 0.500 0.500 0.113
In 0.500 0.500 0.887
```

Er3Co29Si4B10: relaxed, GGA-PBE. Values from VASP.

- formation energy (no corrections) (eV/atom) = -0.42
- final energy (eV/atom) = -7.1237
- M_tot (μB per cell) = 36.46

Quantum ESPRESSO input file:
```
&SYSTEM
  ibrav = 0, nat = 92, ntyp = 4
/
ATOMIC_SPECIES
Er 167.26 Er.upf
Co 58.93 Co.upf
Si 28.09 Si.upf
B 10.81 B.upf
CELL_PARAMETERS angstrom
11.096 0.000 0.000
0.000 11.096 0.000
0.000 0.000 7.803
ATOMIC_POSITIONS crystal
Er 0.000 0.000 0.000
Er 0.000 0.500 0.000
Er 0.250 0.750 0.500
Er 0.500 0.000 0.000
Er 0.500 0.500 0.000
Er 0.750 0.250 0.500
Co 0.022 0.250 0.474
Co 0.076 0.588 0.336
Co 0.076 0.912 0.336
Co 0.085 0.250 0.970
Co 0.088 0.576 0.664
Co 0.088 0.924 0.664
Co 0.134 0.134 0.248
Co 0.134 0.366 0.248
Co 0.140 0.140 0.699
Co 0.140 0.360 0.699
Co 0.140 0.750 0.112
Co 0.250 0.022 0.474
Co 0.250 0.085 0.970
Co 0.250 0.250 0.466
Co 0.250 0.415 0.970
Co 0.250 0.478 0.474
Co 0.250 0.640 0.888
Co 0.250 0.860 0.888
Co 0.360 0.140 0.699
Co 0.360 0.360 0.699
Co 0.360 0.750 0.112
Co 0.366 0.134 0.248
Co 0.366 0.366 0.248
Co 0.412 0.576 0.664
Co 0.412 0.924 0.664
Co 0.415 0.250 0.970
Co 0.424 0.588 0.336
Co 0.424 0.912 0.336
Co 0.478 0.250 0.474
Co 0.522 0.750 0.526
Co 0.576 0.088 0.664
Co 0.576 0.412 0.664
Co 0.585 0.750 0.030
Co 0.588 0.076 0.336
Co 0.588 0.424 0.336
Co 0.634 0.634 0.752
Co 0.634 0.866 0.752
Co 0.640 0.250 0.888
Co 0.640 0.640 0.301
Co 0.640 0.860 0.301
Co 0.750 0.140 0.112
Co 0.750 0.360 0.112
Co 0.750 0.522 0.526
Co 0.750 0.585 0.030
Co 0.750 0.750 0.534
Co 0.750 0.915 0.030
Co 0.750 0.978 0.526
Co 0.860 0.250 0.888
Co 0.860 0.640 0.301
Co 0.860 0.860 0.301
Co 0.866 0.634 0.752
Co 0.866 0.866 0.752
Co 0.912 0.076 0.336
Co 0.912 0.424 0.336
Co 0.915 0.750 0.030
Co 0.924 0.088 0.664
Co 0.924 0.412 0.664
Co 0.978 0.750 0.526
Si 0.068 0.750 0.825
Si 0.250 0.568 0.175
Si 0.250 0.932 0.175
Si 0.432 0.750 0.825
Si 0.568 0.250 0.175
Si 0.750 0.068 0.825
Si 0.750 0.432 0.825
Si 0.932 0.250 0.175
B 0.006 0.750 0.264
B 0.064 0.064 0.482
B 0.064 0.436 0.482
B 0.250 0.250 0.107
B 0.250 0.250 0.851
B 0.250 0.506 0.736
B 0.250 0.994 0.736
B 0.436 0.064 0.482
B 0.436 0.436 0.482
B 0.494 0.750 0.264
B 0.506 0.250 0.736
B 0.564 0.564 0.518
B 0.564 0.936 0.518
B 0.750 0.006 0.264
B 0.750 0.494 0.264
B 0.750 0.750 0.149
B 0.750 0.750 0.893
B 0.936 0.564 0.518
B 0.936 0.936 0.518
B 0.994 0.250 0.736
```

MgCdPb2: relaxed, GGA-PBE. Values from VASP.

- final energy (eV/atom) = -2.4843
- M_tot (μB per cell) = 0.00
- energy above the lowest structure with this stoichiometry (meV/atom) = 23
- E_form (eV/atom) = 0.00

Quantum ESPRESSO input file:
```
&SYSTEM
  ibrav = 0, nat = 8, ntyp = 3
/
ATOMIC_SPECIES
Mg 24.30 Mg.upf
Cd 112.41 Cd.upf
Pb 207.20 Pb.upf
CELL_PARAMETERS angstrom
6.920 0.000 0.000
0.000 8.787 0.000
0.000 0.000 3.544
ATOMIC_POSITIONS crystal
Mg 0.000 0.000 0.000
Mg 0.500 0.500 0.000
Cd 0.000 0.500 0.000
Cd 0.500 0.000 0.000
Pb 0.250 0.250 0.500
Pb 0.250 0.750 0.500
Pb 0.750 0.250 0.500
Pb 0.750 0.750 0.500
```

TmSc4Co5: relaxed, GGA-PBE. Values from VASP.

- final energy (eV/atom) = -6.8513
- M_tot (μB per cell) = 1.07
- E_form (eV/atom) = -0.32

Quantum ESPRESSO input file:
```
&SYSTEM
  ibrav = 0, nat = 10, ntyp = 3
/
ATOMIC_SPECIES
Tm 168.93 Tm.upf
Sc 44.96 Sc.upf
Co 58.93 Co.upf
CELL_PARAMETERS angstrom
3.153 0.000 0.000
0.000 3.153 0.000
0.000 0.000 15.781
ATOMIC_POSITIONS crystal
Tm 0.000 0.000 0.000
Sc 0.000 0.000 0.205
Sc 0.000 0.000 0.402
Sc 0.000 0.000 0.598
Sc 0.000 0.000 0.795
Co 0.500 0.500 0.109
Co 0.500 0.500 0.304
Co 0.500 0.500 0.500
Co 0.500 0.500 0.696
Co 0.500 0.500 0.891
```

Na3Sc3SbO8: relaxed, GGA-PBE. Values from VASP.

- formation energy (no corrections) (eV/atom) = -2.50
- final energy (eV/atom) = -6.9496
- M_tot (μB per cell) = 0.00

Quantum ESPRESSO input file:
```
&SYSTEM
  ibrav = 0, nat = 15, ntyp = 4
/
ATOMIC_SPECIES
Na 22.99 Na.upf
Sc 44.96 Sc.upf
Sb 121.76 Sb.upf
O 16.00 O.upf
CELL_PARAMETERS angstrom
3.215 1.856 5.564
-3.215 1.856 5.564
0.000 -3.712 5.564
ATOMIC_POSITIONS crystal
Na 0.000 0.500 0.500
Na 0.500 0.000 0.500
Na 0.500 0.500 0.000
Sc 0.000 0.000 0.500
Sc 0.000 0.500 0.000
Sc 0.500 0.000 0.000
Sb 0.500 0.500 0.500
O 0.233 0.233 0.233
O 0.237 0.730 0.730
O 0.270 0.270 0.763
O 0.270 0.763 0.270
O 0.730 0.237 0.730
O 0.730 0.730 0.237
O 0.763 0.270 0.270
O 0.767 0.767 0.767
```

AcZn2Au4: relaxed, GGA-PBE. Values from VASP.

- final energy (eV/atom) = -3.0353
- M_tot (μB per cell) = 0.00
- energy above the lowest structure with this stoichiometry (meV/atom) = 302
- E_form (eV/atom) = -0.21

Quantum ESPRESSO input file:
```
&SYSTEM
  ibrav = 0, nat = 14, ntyp = 3
/
ATOMIC_SPECIES
Ac 227.00 Ac.upf
Zn 65.41 Zn.upf
Au 196.97 Au.upf
CELL_PARAMETERS angstrom
8.275 0.000 0.000
0.000 8.275 0.000
0.000 0.000 5.361
ATOMIC_POSITIONS crystal
Ac 0.000 0.000 0.000
Ac 0.500 0.500 0.500
Zn 0.000 0.500 0.250
Zn 0.000 0.500 0.750
Zn 0.500 0.000 0.250
Zn 0.500 0.000 0.750
Au 0.000 0.236 0.500
Au 0.000 0.764 0.500
Au 0.236 0.000 0.500
Au 0.264 0.500 0.000
Au 0.500 0.264 0.000
Au 0.500 0.736 0.000
Au 0.736 0.500 0.000
Au 0.764 0.000 0.500
```

Ce5Zr: relaxed, GGA-PBE. Values from VASP.

- final energy (eV/atom) = -6.3118
- M_tot (μB per cell) = 0.00
- energy above the lowest structure with this stoichiometry (meV/atom) = 0
- E_form (eV/atom) = 0.06

Quantum ESPRESSO input file:
```
&SYSTEM
  ibrav = 0, nat = 12, ntyp = 2
/
ATOMIC_SPECIES
Ce 140.12 Ce.upf
Zr 91.22 Zr.upf
CELL_PARAMETERS angstrom
4.682 0.000 0.000
0.000 14.148 0.000
0.000 0.000 4.712
ATOMIC_POSITIONS crystal
Ce 0.000 0.000 0.000
Ce 0.000 0.169 0.500
Ce 0.000 0.336 0.000
Ce 0.000 0.664 0.000
Ce 0.000 0.831 0.500
Ce 0.500 0.164 0.000
Ce 0.500 0.331 0.500
Ce 0.500 0.500 0.000
Ce 0.500 0.669 0.500
Ce 0.500 0.836 0.000
Zr 0.000 0.500 0.500
Zr 0.500 0.000 0.500
```

RbAl3V: relaxed, GGA-PBE. Values from VASP.

- final energy (eV/atom) = -3.8057
- M_tot (μB per cell) = 2.74
- energy above the lowest structure with this stoichiometry (meV/atom) = 0
- E_form (eV/atom) = 0.46

Quantum ESPRESSO input file:
```
&SYSTEM
  ibrav = 0, nat = 5, ntyp = 3
/
ATOMIC_SPECIES
Rb 85.47 Rb.upf
Al 26.98 Al.upf
V 50.94 V.upf
CELL_PARAMETERS angstrom
5.084 0.000 0.000
0.000 5.084 0.000
0.000 0.000 5.084
ATOMIC_POSITIONS crystal
Rb 0.000 0.000 0.000
Al 0.000 0.500 0.500
Al 0.500 0.000 0.500
Al 0.500 0.500 0.000
V 0.500 0.500 0.500
```

Li2MgSi2: relaxed, GGA-PBE. Values from VASP.

- formation energy (no corrections) (eV/atom) = -0.09
- final energy (eV/atom) = -3.3392
- M_tot (μB per cell) = 0.00
- energy above the lowest structure with this stoichiometry (meV/atom) = 0

Quantum ESPRESSO input file:
```
&SYSTEM
  ibrav = 0, nat = 10, ntyp = 3
/
ATOMIC_SPECIES
Li 6.94 Li.upf
Mg 24.30 Mg.upf
Si 28.09 Si.upf
CELL_PARAMETERS angstrom
7.261 0.000 0.000
0.000 7.261 0.000
0.000 0.000 3.125
ATOMIC_POSITIONS crystal
Li 0.183 0.317 0.000
Li 0.317 0.817 0.000
Li 0.683 0.183 0.000
Li 0.817 0.683 0.000
Mg 0.000 0.000 0.500
Mg 0.500 0.500 0.500
Si 0.114 0.614 0.500
Si 0.386 0.114 0.500
Si 0.614 0.886 0.500
Si 0.886 0.386 0.500
```

Nb3IrS8: relaxed, GGA-PBE. Values from VASP.

- formation energy (no corrections) (eV/atom) = -0.84
- final energy (eV/atom) = -6.8516
- M_tot (μB per cell) = 0.00
- energy above the lowest structure with this stoichiometry (meV/atom) = 0

Quantum ESPRESSO input file:
```
&SYSTEM
  ibrav = 0, nat = 24, ntyp = 3
/
ATOMIC_SPECIES
Nb 92.91 Nb.upf
Ir 192.22 Ir.upf
S 32.06 S.upf
CELL_PARAMETERS angstrom
5.804 -3.382 0.000
5.804 3.382 0.000
-5.763 0.000 13.310
ATOMIC_POSITIONS crystal
Nb 0.142 0.858 0.750
Nb 0.159 0.369 0.749
Nb 0.369 0.159 0.249
Nb 0.631 0.841 0.751
Nb 0.841 0.631 0.251
Nb 0.858 0.142 0.250
Ir 0.417 0.583 0.250
Ir 0.583 0.417 0.750
S 0.021 0.724 0.152
S 0.030 0.749 0.866
S 0.220 0.489 0.623
S 0.251 0.970 0.634
S 0.260 0.533 0.364
S 0.276 0.979 0.348
S 0.467 0.740 0.136
S 0.489 0.220 0.123
S 0.511 0.780 0.877
S 0.533 0.260 0.864
S 0.724 0.021 0.652
S 0.740 0.467 0.636
S 0.749 0.030 0.366
S 0.780 0.511 0.377
S 0.970 0.251 0.134
S 0.979 0.276 0.848
```

NpSi2Pt: relaxed, GGA-PBE. Values from VASP.

- formation energy (no corrections) (eV/atom) = -0.58
- final energy (eV/atom) = -8.0376
- M_tot (μB per cell) = 15.42

Quantum ESPRESSO input file:
```
&SYSTEM
  ibrav = 0, nat = 16, ntyp = 3
/
ATOMIC_SPECIES
Np 237.00 Np.upf
Si 28.09 Si.upf
Pt 195.08 Pt.upf
CELL_PARAMETERS angstrom
-2.149 4.219 8.024
2.149 -4.219 8.024
2.149 4.219 -8.024
ATOMIC_POSITIONS crystal
Np 0.201 0.201 0.000
Np 0.240 0.000 0.240
Np 0.760 0.000 0.760
Np 0.799 0.799 0.000
Si 0.072 0.572 0.500
Si 0.154 0.801 0.353
Si 0.428 0.428 0.000
Si 0.448 0.801 0.647
Si 0.552 0.199 0.353
Si 0.572 0.572 0.000
Si 0.846 0.199 0.647
Si 0.928 0.428 0.500
Pt 0.105 0.351 0.754
Pt 0.403 0.649 0.754
Pt 0.597 0.351 0.246
Pt 0.895 0.649 0.246
```

Sr6HPt2Br3: relaxed, GGA-PBE. Values from VASP.

- final energy (eV/atom) = -3.6799
- M_tot (μB per cell) = 0.00

Quantum ESPRESSO input file:
```
&SYSTEM
  ibrav = 0, nat = 12, ntyp = 4
/
ATOMIC_SPECIES
Sr 87.62 Sr.upf
H 1.01 H.upf
Pt 195.08 Pt.upf
Br 79.90 Br.upf
CELL_PARAMETERS angstrom
3.704 -6.422 0.000
3.704 6.422 0.000
-2.457 0.000 7.927
ATOMIC_POSITIONS crystal
Sr 0.069 0.399 0.208
Sr 0.261 0.261 0.794
Sr 0.399 0.069 0.208
Sr 0.601 0.931 0.792
Sr 0.739 0.739 0.206
Sr 0.931 0.601 0.792
H 0.000 0.000 0.000
Pt 0.333 0.667 0.000
Pt 0.667 0.333 0.000
Br 0.163 0.837 0.500
Br 0.500 0.500 0.500
Br 0.837 0.163 0.500
```

Sc2NbBiO8: relaxed, GGA-PBE. Values from VASP.

- formation energy (no corrections) (eV/atom) = -2.42
- final energy (eV/atom) = -7.9460
- M_tot (μB per cell) = 0.00

Quantum ESPRESSO input file:
```
&SYSTEM
  ibrav = 0, nat = 12, ntyp = 4
/
ATOMIC_SPECIES
Sc 44.96 Sc.upf
Nb 92.91 Nb.upf
Bi 208.98 Bi.upf
O 16.00 O.upf
CELL_PARAMETERS angstrom
3.378 -3.496 0.000
3.378 3.496 0.000
0.000 0.000 6.537
ATOMIC_POSITIONS crystal
Sc 0.000 0.000 0.241
Sc 0.000 0.000 0.759
Nb 0.500 0.500 0.000
Bi 0.500 0.500 0.500
O 0.191 0.191 0.500
O 0.203 0.203 0.000
O 0.308 0.692 0.236
O 0.308 0.692 0.764
O 0.692 0.308 0.236
O 0.692 0.308 0.764
O 0.797 0.797 0.000
O 0.809 0.809 0.500
```

Bi2O3: relaxed, GGA-PBE. Values from VASP.

- formation energy (no corrections) (eV/atom) = -1.11
- final energy (eV/atom) = -5.6414
- M_tot (μB per cell) = 0.00

Quantum ESPRESSO input file:
```
&SYSTEM
  ibrav = 0, nat = 15, ntyp = 2
/
ATOMIC_SPECIES
Bi 208.98 Bi.upf
O 16.00 O.upf
CELL_PARAMETERS angstrom
3.750 0.000 0.000
-1.765 3.532 0.000
-0.185 -1.981 20.364
ATOMIC_POSITIONS crystal
Bi 0.000 0.000 0.000
Bi 0.031 0.020 0.660
Bi 0.212 0.443 0.488
Bi 0.545 0.097 0.318
Bi 0.687 0.358 0.833
Bi 0.749 0.515 0.155
O 0.019 0.009 0.833
O 0.093 0.181 0.170
O 0.160 0.349 0.371
O 0.253 0.514 0.603
O 0.438 0.838 0.056
O 0.543 0.092 0.483
O 0.635 0.259 0.714
O 0.730 0.428 0.946
O 0.791 0.613 0.264
```

Gd3Co5S12: relaxed, GGA-PBE. Values from VASP.

- formation energy (no corrections) (eV/atom) = -0.86
- final energy (eV/atom) = -7.2244
- M_tot (μB per cell) = 52.80

Quantum ESPRESSO input file:
```
&SYSTEM
  ibrav = 0, nat = 80, ntyp = 3
/
ATOMIC_SPECIES
Gd 157.25 Gd.upf
Co 58.93 Co.upf
S 32.06 S.upf
CELL_PARAMETERS angstrom
-7.222 7.222 7.222
7.222 -7.222 7.222
7.222 7.222 -7.222
ATOMIC_POSITIONS crystal
Gd 0.125 0.250 0.375
Gd 0.125 0.375 0.750
Gd 0.250 0.375 0.125
Gd 0.250 0.875 0.625
Gd 0.375 0.125 0.250
Gd 0.375 0.750 0.125
Gd 0.625 0.250 0.875
Gd 0.625 0.875 0.750
Gd 0.750 0.125 0.375
Gd 0.750 0.625 0.875
Gd 0.875 0.625 0.250
Gd 0.875 0.750 0.625
Co 0.000 0.000 0.000
Co 0.000 0.000 0.500
Co 0.000 0.500 0.000
Co 0.000 0.500 0.500
Co 0.125 0.750 0.875
Co 0.125 0.875 0.250
Co 0.250 0.125 0.875
Co 0.250 0.625 0.375
Co 0.375 0.250 0.625
Co 0.375 0.625 0.750
Co 0.500 0.000 0.000
Co 0.500 0.000 0.500
Co 0.500 0.500 0.000
Co 0.500 0.500 0.500
Co 0.625 0.375 0.250
Co 0.625 0.750 0.375
Co 0.750 0.375 0.625
Co 0.750 0.875 0.125
Co 0.875 0.125 0.750
Co 0.875 0.250 0.125
S 0.022 0.200 0.112
S 0.022 0.323 0.910
S 0.087 0.700 0.677
S 0.087 0.888 0.410
S 0.090 0.612 0.413
S 0.090 0.978 0.677
S 0.112 0.022 0.200
S 0.112 0.590 0.913
S 0.177 0.200 0.587
S 0.177 0.478 0.590
S 0.200 0.112 0.022
S 0.200 0.587 0.177
S 0.300 0.323 0.913
S 0.300 0.478 0.388
S 0.323 0.910 0.022
S 0.323 0.913 0.300
S 0.388 0.300 0.478
S 0.388 0.587 0.910
S 0.410 0.087 0.888
S 0.410 0.823 0.522
S 0.413 0.090 0.612
S 0.413 0.823 0.800
S 0.478 0.388 0.300
S 0.478 0.590 0.177
S 0.522 0.410 0.823
S 0.522 0.612 0.700
S 0.587 0.177 0.200
S 0.587 0.910 0.388
S 0.590 0.177 0.478
S 0.590 0.913 0.112
S 0.612 0.413 0.090
S 0.612 0.700 0.522
S 0.677 0.087 0.700
S 0.677 0.090 0.978
S 0.700 0.522 0.612
S 0.700 0.677 0.087
S 0.800 0.413 0.823
S 0.800 0.888 0.978
S 0.823 0.522 0.410
S 0.823 0.800 0.413
S 0.888 0.410 0.087
S 0.888 0.978 0.800
S 0.910 0.022 0.323
S 0.910 0.388 0.587
S 0.913 0.112 0.590
S 0.913 0.300 0.323
S 0.978 0.677 0.090
S 0.978 0.800 0.888
```